No. 1
! Ta2CrFeH | the Alexandria database | PBE-GGA | relaxed; values from VASP
! final energy	-45.4	eV per cell
! crystal system	tetragonal
&SYSTEM
  ibrav = 0, nat = 5, ntyp = 4
/
ATOMIC_SPECIES
Ta 180.95 Ta.upf
Cr 52.00 Cr.upf
Fe 55.84 Fe.upf
H 1.01 H.upf
ATOMIC_POSITIONS crystal
Ta 0.000 0.500 0.000
Ta 0.500 0.000 0.000
Cr 0.000 0.000 0.500
Fe 0.500 0.500 0.500
H 0.500 0.500 0.000
CELL_PARAMETERS angstrom
4.321 0.000 0.000
0.000 4.321 0.000
0.000 0.000 3.242

No. 2
! CdRe2As | the Alexandria database | PBE-GGA | relaxed; values from VASP
! energy of formation	0.683	eV per atom
! crystal system	orthorhombic
&SYSTEM
  ibrav = 0, nat = 4, ntyp = 3
/
ATOMIC_SPECIES
Cd 112.41 Cd.upf
Re 186.21 Re.upf
As 74.92 As.upf
ATOMIC_POSITIONS crystal
Cd 0.000 0.000 0.000
Re 0.500 0.500 0.280
Re 0.500 0.500 0.720
As 0.000 0.000 0.500
CELL_PARAMETERS angstrom
1.507 -2.487 0.000
1.507 2.487 0.000
0.000 0.000 8.896

No. 3
! CuGe2AsIr | the Alexandria database | PBE-GGA | relaxed; values from VASP
! energy of formation	1.051	eV per atom
! crystal system	tetragonal
&SYSTEM
  ibrav = 0, nat = 5, ntyp = 4
/
ATOMIC_SPECIES
Cu 63.55 Cu.upf
Ge 72.64 Ge.upf
As 74.92 As.upf
Ir 192.22 Ir.upf
ATOMIC_POSITIONS crystal
Cu 0.000 0.000 0.000
Ge 0.000 0.500 0.500
Ge 0.500 0.000 0.500
As 0.500 0.500 0.500
Ir 0.500 0.500 0.000
CELL_PARAMETERS angstrom
4.995 0.000 0.000
0.000 4.995 0.000
0.000 0.000 4.563

Number 1: size of the total moment 0.508 μB per formula unit. Number 2: size of the total moment 0.000 μB per formula unit. Number 3: size of the total moment 0.000 μB per formula unit.